Material: Sr3InO4
Method: DFT, PBE
State: optimized geometry

The value obtained for the volume is 161.1 Å³/f.u. The value obtained for the total magnetic moment is 0.00 μB/cell. The calculation puts the uncorrected formation energy at -2.25 eV per atom.

It has space group Pmn2_1 (No. 31), with a = 8.4491 Å, b = 7.2776 Å, c = 5.2389 Å, α = 90.00°, β = 90.00° and γ = 90.00°. The distinct sites, in fractional coordinates, are Sr at (0.0000, 0.1498, 0.9999), Sr at (0.2492, 0.6709, 0.0000), In at (0.0000, 0.8248, 0.4912), O at (0.0000, 0.1461, 0.5048), O at (0.0000, 0.8224, 0.0733) and O at (0.2482, 0.6722, 0.5045).